Record 1
DFT (meta-GGA SCAN) results for a crystal of Cu2BrCl relaxed with PBEsol.

Structure (POSCAR):
```
Cu2BrCl
1.0
-2.4548 1.1127 2.5027
-3.5953 -0.4751 -0.6127
-1.7320 -5.6814 3.5298
Br Cu Cl
1 2 1
Cartesian
-3.8626 -3.1107 2.9996 Br
-1.7329 -5.6626 3.5206 Cu
-5.8312 -3.8928 4.1190 Cu
-1.9784 -0.5809 1.0204 Cl
```

Computed properties:
- Total magnetic moment: 0.00 μB/f.u.
- E_tot: -59.0 eV per cell
- E above lowest polymorph: 67 meV/atom
- E_form (uncorrected): -296 meV per atom
- SG: R3m, No. 160


Record 2
DFT (meta-GGA SCAN) results for a crystal of AsPRh2 relaxed with PBEsol.

Structure (POSCAR):
```
AsPRh2
1.0
-1.7233 -1.6856 -1.5509
4.2306 -2.4719 0.6586
-2.1943 0.6736 4.3787
As P Rh
1 1 2
Cartesian
0.1565 -1.7420 1.7432 As
-0.8616 -0.8428 -0.7755 P
-1.0971 0.3368 2.1894 Rh
2.1153 -1.2360 0.3293 Rh
```

Computed properties:
- Total magnetic moment: 0.00 μB/f.u.
- E_tot: -97.9 eV per cell
- E above lowest polymorph: 520 meV/atom
- Energy of formation: 0.06 eV/atom
- SG: C2/m, No. 12


Record 3
DFT (meta-GGA SCAN) results for a crystal of Os3Se relaxed with PBEsol.

Structure (POSCAR):
```
Os3Se
1.0
2.8067 0.0000 0.0000
0.0000 4.5688 0.0000
0.0000 0.0000 4.5688
Os Se
3 1
Cartesian
0.0000 0.0000 2.2844 Os
1.4034 2.2844 2.2844 Os
0.0000 2.2844 0.0000 Os
1.4034 0.0000 0.0000 Se
```

Computed properties:
- Total magnetic moment: 1.31 μB/f.u.
- E_tot: -231.9 eV per cell
- E above lowest polymorph: 170 meV/atom
- E_form (uncorrected): 961 meV per atom
- SG: P4/mmm, No. 123